The following is a DFT calculation (PBE-GGA) of an optimized crystal structure of PuNp2O11.

Unit cell a=8.094 b=8.099 c=8.106 alpha=62.24 beta=74.01 gamma=62.06
Space group P1 (No. 1)
Inequivalent atoms, fractional coordinates:
Pu: 0.000 0.000 0.000 x1
Pu: 0.466 0.501 0.538 x1
Np: 0.034 0.401 0.469 x1
Np: 0.434 0.075 0.083 x1
Np: 0.548 0.574 0.972 x1
Np: 0.932 0.902 0.567 x1
O: 0.067 0.144 0.391 x1
O: 0.103 0.198 0.707 x1
O: 0.172 0.698 0.637 x1
O: 0.199 0.144 0.031 x1
O: 0.211 0.767 0.012 x1
O: 0.246 0.142 0.347 x1
O: 0.262 0.451 0.438 x1
O: 0.437 0.332 0.059 x1
O: 0.441 0.747 0.346 x1
O: 0.475 0.270 0.748 x1
O: 0.494 0.643 0.738 x1
O: 0.520 0.833 0.976 x1
O: 0.602 0.458 0.212 x1
O: 0.676 0.959 0.136 x1
O: 0.693 0.077 0.512 x1
O: 0.762 0.402 0.522 x1
O: 0.807 0.247 0.975 x1
O: 0.809 0.638 0.787 x1
O: 0.854 0.640 0.609 x1
O: 0.902 0.952 0.796 x1
O: 0.973 0.578 0.233 x1
O: 0.983 0.901 0.305 x1

Summary:
**Calculated volume**: 414.3 Å³/cell
**Total moment**: 0.14 μB/cell
**Raw total energy**: -8.92 eV per atom


The following is a DFT calculation (PBE-GGA) of an optimized crystal structure of LuHgAu4.

Unit cell a=7.877 b=7.877 c=7.877 alpha=90.00 beta=90.00 gamma=90.00
Space group F-43m (No. 216)
Inequivalent atoms, fractional coordinates:
Lu: 0.000 0.000 0.000 x4
Hg: 0.250 0.250 0.750 x4
Au: 0.125 0.125 0.375 x16

Summary:
**Calculated volume**: 488.7 Å³/cell
**Total moment**: 0.00 μB/cell
**Energy of formation**: -0.34 eV per atom


Question: The highest calculated volume belongs to which entry?
Answer: LuHgAu4